# 1
Entry from the Alexandria database: an optimized crystal structure of NaAcGaPb (GGA-PBE).

Calculated values
M_tot	0.00	μB/cell
E_form	-276	meV/atom
DFT total energy	-13.3	eV per cell

Cell lengths 5.550, 5.550, 5.550 Å; angles 60.00, 60.00, 60.00 degrees
Fractional positions:
Na1 0.000 0.000 0.000
Ac1 0.500 0.500 0.500
Ga1 0.750 0.750 0.750
Pb1 0.250 0.250 0.250

***

# 2
Entry from the Alexandria database: an optimized crystal structure of Ca2CuSi (GGA-PBE).

Calculated values
M_tot	0.00	μB/cell
DFT total energy	-13.3	eV per cell
E_form (uncorrected)	0.05	eV per atom

Cell lengths 8.009, 8.009, 8.009 Å; angles 29.03, 29.03, 29.03 degrees
Fractional positions:
Ca1 0.249 0.249 0.249
Ca2 0.751 0.751 0.751
Cu1 0.000 0.000 0.000
Si1 0.500 0.500 0.500

***

# 3
Entry from the Alexandria database: an optimized crystal structure of Tb4Ga3Sn (GGA-PBE).

Calculated values
M_tot	0.00	μB/cell
E_form	-663	meV/atom
DFT total energy	-36.9	eV per cell

Cell lengths 4.124, 4.438, 11.056 Å; angles 90.00, 90.00, 90.00 degrees
Fractional positions:
Tb1 0.000 0.000 0.000
Tb2 0.000 0.500 0.487
Tb3 0.500 0.000 0.711
Tb4 0.500 0.500 0.219
Ga1 0.000 0.000 0.279
Ga2 0.500 0.000 0.431
Ga3 0.500 0.500 0.944
Sn1 0.000 0.500 0.777

***

# 4
Entry from the Alexandria database: an optimized crystal structure of Tb5Sb2Os (GGA-PBE).

Calculated values
M_tot	0.00	μB/cell
DFT total energy	-91.3	eV per cell
E_form (uncorrected)	-0.38	eV per atom

Cell lengths 5.414, 5.414, 16.363 Å; angles 90.00, 90.00, 115.45 degrees
Fractional positions:
Tb1 0.057 0.943 0.595
Tb2 0.057 0.943 0.905
Tb3 0.257 0.743 0.250
Tb4 0.389 0.611 0.644
Tb5 0.389 0.611 0.856
Tb6 0.611 0.389 0.144
Tb7 0.611 0.389 0.356
Tb8 0.743 0.257 0.750
Tb9 0.943 0.057 0.095
Tb10 0.943 0.057 0.405
Sb1 0.287 0.713 0.058
Sb2 0.287 0.713 0.442
Sb3 0.713 0.287 0.558
Sb4 0.713 0.287 0.942
Os1 0.122 0.878 0.750
Os2 0.878 0.122 0.250

***

# 5
Entry from the Alexandria database: an optimized crystal structure of BaAcPd (GGA-PBE).

Calculated values
M_tot	0.00	μB/cell
E_form	-442	meV/atom
excess energy over the best structure of this formula in the dataset	74	meV/atom
DFT total energy	-12.6	eV per cell

Cell lengths 4.517, 4.517, 7.372 Å; angles 90.00, 90.00, 120.00 degrees
Fractional positions:
Ba1 0.000 0.000 0.000
Ac1 0.333 0.667 0.465
Pd1 0.667 0.333 0.262

***

# 6
Entry from the Alexandria database: an optimized crystal structure of SrTlPb2O4 (GGA-PBE).

Calculated values
M_tot	0.00	μB/cell
DFT total energy	-83.3	eV per cell
E_form (uncorrected)	-1.29	eV per atom

Cell lengths 7.409, 7.409, 7.409 Å; angles 120.06, 119.33, 90.52 degrees
Fractional positions:
Sr1 0.000 0.000 0.000
Sr2 0.500 0.000 0.500
Tl1 0.500 0.000 0.000
Tl2 0.500 0.500 0.500
Pb1 0.000 0.000 0.500
Pb2 0.000 0.500 0.000
Pb3 0.000 0.500 0.500
Pb4 0.500 0.500 0.000
O1 0.212 0.246 0.965
O2 0.219 0.754 0.465
O3 0.235 0.226 0.491
O4 0.235 0.743 0.009
O5 0.765 0.257 0.991
O6 0.765 0.774 0.509
O7 0.781 0.246 0.535
O8 0.788 0.754 0.035